# AcZnIn2

Crystalline AcZnIn2 at its relaxed geometry (PBE, Alexandria via LeMat-Bulk).

Output
For the total DFT energy (no corrections), the calculation gives -2.97 eV per atom. The total magnetic moment is 0.00 μB per cell. As for the space group: P4/mmm. As for the formation energy: -0.25 eV/atom.

Cell: 4.968 4.755 4.755 Å, 90.00 90.00 90.00°
Positions (direct):
Ac: 0.500 0.500 0.500
Zn: 0.500 0.000 0.000
In: 0.000 0.000 0.500
In: 0.000 0.500 0.000

***

# CoN

Crystalline CoN at its relaxed geometry (PBE, Alexandria via LeMat-Bulk).

Output
The value obtained for the formation energy from raw total energies is 1.0 eV per formula unit. For the total DFT energy (no corrections), the calculation gives -7.19 eV per atom. The total magnetic moment is 0.00 μB per cell. As for the space group: Amm2.

Cell: 2.741 3.341 4.761 Å, 90.00 90.00 90.00°
Positions (direct):
N: 0.500 0.000 0.756
N: 0.500 0.500 0.256
Co: 0.500 0.500 0.892
Co: 0.500 0.000 0.392

***

# La4Pr6Er

Crystalline La4Pr6Er at its relaxed geometry (PBE, Alexandria via LeMat-Bulk).

Output
For the total DFT energy (no corrections), the calculation gives -4.56 eV per atom. The total magnetic moment is 0.00 μB per cell. As for the space group: I-42m. As for the formation energy: 0.26 eV/atom.

Cell: 9.734 9.734 9.734 Å, 60.81 138.06 138.06°
Positions (direct):
Pr: 0.500 0.000 0.500
Pr: 0.000 0.448 0.781
Pr: 0.500 0.500 0.000
Pr: 0.000 0.781 0.448
Pr: 0.333 0.552 0.552
Pr: 0.667 0.219 0.219
La: 0.000 0.634 0.005
La: 0.000 0.005 0.634
La: 0.629 0.995 0.995
La: 0.371 0.366 0.366
Er: 0.000 0.000 0.000

***

no.,V (Å³ per cell),relative energy among the computed polymorphs (meV per atom)
1,112,157
2,44,417
3,407,18